First-principles (GGA-PBE) data for a relaxed structure of LiCdOs, as listed in Alexandria via LeMat-Bulk.

Cell and atoms, written as POSCAR:
```
LiCdOs
1.0
2.776 0.000 0.000
-1.388 2.404 0.000
0.000 0.000 7.186
Li Cd Os
1 1 1
direct
0.000 0.000 0.000 Li
0.667 0.333 0.650 Cd
0.333 0.667 0.300 Os
```

Output
ΔH_f (0 K): 0.2879 eV/atom
Raw total energy: -4.40 eV per atom
V: 16.0 Å³ per atom
Total moment: 0.0 Bohr magnetons per cell
Mass density: 10.717 g/cm³

First-principles (GGA-PBE) data for a relaxed structure of LiCd2Os, as listed in Alexandria via LeMat-Bulk.

Cell and atoms, written as POSCAR:
```
LiCd2Os
1.0
5.279 -1.419 0.000
5.279 1.419 0.000
-1.960 0.000 4.591
Li Cd Os
1 2 1
direct
0.000 0.000 0.000 Li
0.518 0.518 0.527 Cd
0.760 0.760 0.105 Cd
0.265 0.265 0.606 Os
```

Output
ΔH_f (0 K): 0.2779 eV/atom
Raw total energy: -3.47 eV per atom
V: 17.2 Å³ per atom
Total moment: 0.0 Bohr magnetons per cell
Mass density: 10.187 g/cm³